Record 1
A plane-wave DFT calculation with GGA-PBE was carried out for CsHg3GeO4 after structural relaxation.

Computed properties:
Theoretical density in kg/m3: 6449

Cell: 6.0765 6.0765 6.0765 Å, 90.00 90.00 90.00°
Closest atoms and distances in Å follow each position.
Fractional coordinates of all 9 atoms:
Cs 0.0000 0.0000 0.0000  4 O 3.45
Ge 0.5000 0.5000 0.5000  4 O 1.81
Hg 0.5000 0.5000 0.0000  4 O 2.48
Hg 0.5000 0.0000 0.5000  4 O 2.48
Hg 0.0000 0.5000 0.5000  4 O 2.48
O 0.3282 0.3282 0.3282  1 Ge 1.81
O 0.6718 0.6718 0.3282  1 Ge 1.81
O 0.6718 0.3282 0.6718  1 Ge 1.81
O 0.3282 0.6718 0.6718  1 Ge 1.81

=====

Record 2
A plane-wave DFT calculation with GGA-PBE was carried out for CsHg3GeTe4 after structural relaxation.

Computed properties:
Theoretical density in kg/m3: 5490

Cell: 7.3592 7.3592 7.3592 Å, 90.00 90.00 90.00°
Closest atoms and distances in Å follow each position.
Fractional coordinates of all 9 atoms:
Cs 0.0000 0.0000 0.0000  4 Te 3.62
Ge 0.5000 0.5000 0.5000  4 Te 2.76
Hg 0.5000 0.5000 0.0000  4 Te 3.07
Hg 0.5000 0.0000 0.5000  4 Te 3.07
Hg 0.0000 0.5000 0.5000  4 Te 3.07
Te 0.2838 0.2838 0.2838  1 Ge 2.76, 3 Hg 3.07
Te 0.7162 0.7162 0.2838  1 Ge 2.76, 3 Hg 3.07
Te 0.7162 0.2838 0.7162  1 Ge 2.76, 3 Hg 3.07
Te 0.2838 0.7162 0.7162  1 Ge 2.76, 3 Hg 3.07

=====

Record 3
A plane-wave DFT calculation with GGA-PBE was carried out for CsHg3GeTe4 after structural relaxation.

Computed properties:
Theoretical density in kg/m3: 6250

Cell: 7.1831 8.3616 11.6893 Å, 90.00 94.25 90.00°
Closest atoms and distances in Å follow each position.
Fractional coordinates of all 18 atoms:
Cs 0.7435 0.7500 0.3868  6 Te 4.07-4.22, 3 Hg 4.16-4.37
Cs 0.2565 0.2500 0.6132  6 Te 4.07-4.22, 3 Hg 4.16-4.37
Ge 0.9176 0.2500 0.2402  4 Te 2.65-2.69
Ge 0.0824 0.7500 0.7598  4 Te 2.65-2.69
Hg 0.7881 0.5811 0.0364  1 Hg 2.82, 1 Te 2.98
Hg 0.7881 0.9189 0.0364  1 Hg 2.82, 1 Te 2.98
Hg 0.4159 0.2500 0.2781  4 Te 2.87-3.06
Hg 0.5841 0.7500 0.7219  4 Te 2.87-3.06
Hg 0.2119 0.0811 0.9636  1 Hg 2.82, 1 Te 2.98
Hg 0.2119 0.4189 0.9636  1 Hg 2.82, 1 Te 2.98
Te 0.6464 0.2500 0.0682  1 Ge 2.69, 2 Hg 2.98
Te 0.1375 0.5040 0.2258  1 Ge 2.66, 1 Hg 2.95
Te 0.1375 0.9960 0.2258  1 Ge 2.66, 1 Hg 2.95
Te 0.7443 0.2500 0.4331  1 Ge 2.65, 1 Hg 2.87
Te 0.2557 0.7500 0.5669  1 Ge 2.65, 1 Hg 2.87
Te 0.8625 0.0040 0.7742  1 Ge 2.66, 1 Hg 2.95
Te 0.8625 0.4960 0.7742  1 Ge 2.66, 1 Hg 2.95
Te 0.3536 0.7500 0.9318  1 Ge 2.69, 2 Hg 2.98

=====

Record 4
A plane-wave DFT calculation with GGA-PBE was carried out for CsHoGe after structural relaxation.

Computed properties:
Theoretical density in kg/m3: 5536
M_tot in μB per atom: 0.0001

Cell: 5.3965 5.3965 5.3965 Å, 60.00 60.00 60.00°
Closest atoms and distances in Å follow each position.
Fractional coordinates of all 3 atoms:
Cs 0.2500 0.2500 0.2500  4 Ge 3.30
Ge 0.0000 0.0000 0.0000  4 Ho 3.30, 4 Cs 3.30
Ho 0.7500 0.7500 0.7500  4 Ge 3.30

=====

Record 5
A plane-wave DFT calculation with GGA-PBE was carried out for Cs2GePdI6 after structural relaxation.

Computed properties:
Theoretical density in kg/m3: 5086

Cell: 8.2277 8.2277 8.2277 Å, 60.00 60.00 60.00°
Closest atoms and distances in Å follow each position.
Fractional coordinates of all 10 atoms:
Cs 0.2500 0.2500 0.2500  12 I 4.11
Cs 0.7500 0.7500 0.7500  12 I 4.11
Ge 0.0000 0.0000 0.0000  6 I 2.97
I 0.7448 0.2552 0.2552  1 Pd 2.85, 1 Ge 2.97
I 0.2552 0.7448 0.2552  1 Pd 2.85, 1 Ge 2.97
I 0.7448 0.7448 0.2552  1 Pd 2.85, 1 Ge 2.97
I 0.2552 0.2552 0.7448  1 Pd 2.85, 1 Ge 2.97
I 0.2552 0.7448 0.7448  1 Pd 2.85, 1 Ge 2.97
I 0.7448 0.2552 0.7448  1 Pd 2.85, 1 Ge 2.97
Pd 0.5000 0.5000 0.5000  6 I 2.85

=====

Record 6
A plane-wave DFT calculation with GGA-PBE was carried out for CsGeIr after structural relaxation.

Computed properties:
Theoretical density in kg/m3: 7906
M_tot in μB per atom: 0.0016

Cell: 3.5472 3.5472 6.6396 Å, 90.00 90.00 90.00°
Closest atoms and distances in Å follow each position.
Fractional coordinates of all 3 atoms:
Cs 0.5000 0.5000 0.5000  2 Ir 3.32, 4 Cs 3.55
Ge 0.0000 0.0000 0.0000  4 Ir 2.51
Ir 0.5000 0.5000 0.0000  4 Ge 2.51

=====

Record 7
A plane-wave DFT calculation with GGA-PBE was carried out for CsGeIr after structural relaxation.

Computed properties:
Theoretical density in kg/m3: 8241
M_tot in μB per atom: 0.0015

Cell: 4.8395 4.8395 4.8395 Å, 60.00 60.00 60.00°
Closest atoms and distances in Å follow each position.
Fractional coordinates of all 3 atoms:
Cs 0.2500 0.2500 0.2500  4 Ir 2.96
Ge 0.7500 0.7500 0.7500  4 Ir 2.96
Ir 0.0000 0.0000 0.0000  4 Cs 2.96, 4 Ge 2.96

=====

Record 8
A plane-wave DFT calculation with GGA-PBE was carried out for CsGeIr after structural relaxation.

Computed properties:
Theoretical density in kg/m3: 6065
M_tot in μB per atom: 0.0079

Cell: 4.1952 4.1952 12.3759 Å, 90.00 90.00 90.00°
Closest atoms and distances in Å follow each position.
Fractional coordinates of all 6 atoms:
Cs 0.0000 0.5000 0.2284  4 Ge 3.60, 4 Ir 3.96
Cs 0.5000 0.0000 0.7716  4 Ge 3.60, 4 Ir 3.96
Ge 0.5000 0.0000 0.3928  4 Ir 2.48
Ge 0.0000 0.5000 0.6072  4 Ir 2.48
Ir 0.0000 0.0000 0.5000  4 Ge 2.48
Ir 0.5000 0.5000 0.5000  4 Ge 2.48

=====

Record 9
A plane-wave DFT calculation with GGA-PBE was carried out for CsGeIrS5 after structural relaxation.

Computed properties:
Theoretical density in kg/m3: 4254
M_tot in μB per atom: 0.0002

Cell: 7.1385 7.4940 9.2689 Å, 67.63 78.44 72.71°
Closest atoms and distances in Å follow each position.
Fractional coordinates of all 16 atoms:
Cs 0.6055 0.3536 0.3064  9 S 3.60-4.01
Cs 0.3945 0.6464 0.6936  9 S 3.60-4.01
Ge 0.9798 0.6972 0.3568  4 S 2.23-2.31
Ge 0.0202 0.3028 0.6432  4 S 2.23-2.31
Ir 0.2467 0.9880 0.0291  6 S 2.31-2.51
Ir 0.7533 0.0120 0.9709  6 S 2.31-2.51
S 0.0558 0.7823 0.0202  2 Ir 2.33-2.37
S 0.4429 0.1931 0.0314  2 Ir 2.32-2.37
S 0.6916 0.8768 0.2643  1 Ge 2.23
S 0.2129 0.8649 0.2999  1 Ge 2.24, 1 Ir 2.31
S 0.0863 0.3715 0.3763  2 Ge 2.28-2.31
S 0.9137 0.6285 0.6237  2 Ge 2.28-2.31
S 0.7871 0.1351 0.7001  1 Ge 2.24, 1 Ir 2.31
S 0.3084 0.1232 0.7357  1 Ge 2.23
S 0.5571 0.8069 0.9686  2 Ir 2.32-2.37
S 0.9442 0.2177 0.9798  2 Ir 2.33-2.37

=====

Record 10
A plane-wave DFT calculation with GGA-PBE was carried out for CsLuGeS3 after structural relaxation.

Computed properties:
Theoretical density in kg/m3: 4490
M_tot in μB per atom: 0.0003

Cell: 8.8536 3.8950 11.0692 Å, 90.00 112.52 90.00°
Closest atoms and distances in Å follow each position.
Fractional coordinates of all 12 atoms:
Cs 0.7700 0.2500 0.2289  7 S 3.51-3.85, 1 Ge 3.67, 2 Cs 3.89
Cs 0.2300 0.7500 0.7711  7 S 3.51-3.85, 1 Ge 3.67, 2 Cs 3.89
Ge 0.1337 0.7500 0.0656  3 S 2.33-2.52
Ge 0.8663 0.2500 0.9344  3 S 2.33-2.52
Lu 0.3687 0.2500 0.3486  6 S 2.65-2.73
Lu 0.6313 0.7500 0.6514  6 S 2.65-2.73
S 0.3239 0.2500 0.0914  2 Ge 2.52, 1 Lu 2.72
S 0.1344 0.7500 0.2765  1 Ge 2.33
S 0.5904 0.7500 0.4017  3 Lu 2.65-2.67
S 0.4096 0.2500 0.5983  3 Lu 2.65-2.67
S 0.8656 0.2500 0.7235  1 Ge 2.33
S 0.6761 0.7500 0.9086  2 Ge 2.52, 1 Lu 2.72

=====

Record 11
A plane-wave DFT calculation with GGA-PBE was carried out for CsLuGeS3 after structural relaxation.

Computed properties:
Theoretical density in kg/m3: 4467
M_tot in μB per atom: 0.0011

Cell: 8.4039 8.4039 11.1920 Å, 90.00 90.00 153.36°
Closest atoms and distances in Å follow each position.
Fractional coordinates of all 12 atoms:
Cs 0.2093 0.7907 0.2500  2 S 3.38, 2 Ge 3.75
Cs 0.7907 0.2093 0.7500  2 S 3.38, 2 Ge 3.75
Ge 0.9057 0.0943 0.2500  4 S 2.51-2.64
Ge 0.0943 0.9057 0.7500  4 S 2.51-2.64
Lu 0.5000 0.5000 0.0000  6 S 2.65-2.80
Lu 0.5000 0.5000 0.5000  6 S 2.65-2.80
S 0.8896 0.1104 0.0155  1 Ge 2.64, 2 Lu 2.65
S 0.5030 0.4970 0.2500  2 Ge 2.51, 2 Lu 2.80
S 0.8896 0.1104 0.4845  1 Ge 2.64, 2 Lu 2.65
S 0.1104 0.8896 0.5155  1 Ge 2.64, 2 Lu 2.65
S 0.4970 0.5030 0.7500  2 Ge 2.51, 2 Lu 2.80
S 0.1104 0.8896 0.9845  1 Ge 2.64, 2 Lu 2.65

=====

Record 12
A plane-wave DFT calculation with GGA-PBE was carried out for CsGe5Mo3 after structural relaxation.

Computed properties:
Theoretical density in kg/m3: 5895
M_tot in μB per atom: 0.0001

Cell: 5.3363 5.3363 8.9542 Å, 90.00 90.00 120.00°
Closest atoms and distances in Å follow each position.
Fractional coordinates of all 9 atoms:
Cs 0.0000 0.0000 0.0000  12 Ge 3.81
Ge 0.6667 0.3333 0.2512  3 Mo 2.71
Ge 0.3333 0.6667 0.2512  3 Mo 2.71
Ge 0.0000 0.0000 0.5000  6 Mo 2.67
Ge 0.6667 0.3333 0.7488  3 Mo 2.71
Ge 0.3333 0.6667 0.7488  3 Mo 2.71
Mo 0.5000 0.0000 0.5000  6 Ge 2.67-2.71, 4 Mo 2.67
Mo 0.0000 0.5000 0.5000  4 Mo 2.67, 6 Ge 2.67-2.71
Mo 0.5000 0.5000 0.5000  4 Mo 2.67, 6 Ge 2.67-2.71

=====

no.,electronic total energy (eV/atom)
1,-3.61
2,-2.29
3,-2.36
4,-3.03
5,-2.83
6,-4.58
7,-3.83
8,-5.05
9,-4.83
10,-5.08
11,-4.95
12,-6.27